Below is an optimized crystal structure of TlIn2Sb, with properties calculated at the GGA-PBE level.

```
TlIn2Sb
1.0
1.716 0.991 11.173
-1.716 0.991 11.173
0.000 -1.982 11.173
Tl In Sb
1 2 1
Direct
0.000 0.000 0.000
0.247 0.247 0.247
0.753 0.753 0.753
0.500 0.500 0.500
```

* uncorrected formation energy: 0.032 eV/atom
* polymorph energy (0 for the lowest one): 0.012 eV/atom
* symmetry: R-3m, No. 166
* total magnetization: 0.0 μB/cell
* energy: -11.84 eV/cell


Below is an optimized crystal structure of SmPu2N4, with properties calculated at the GGA-PBE level.

```
SmPu2N4
1.0
-3.684 3.684 3.546
3.684 -3.684 3.546
3.684 3.684 -3.546
Sm Pu N
2 4 8
Direct
0.000 0.000 0.000
0.750 0.250 0.500
0.262 0.625 0.137
0.375 0.512 0.637
0.488 0.125 0.863
0.875 0.738 0.363
0.020 0.400 0.258
0.143 0.762 0.742
0.150 0.270 0.758
0.238 0.980 0.380
0.512 0.393 0.242
0.600 0.857 0.620
0.607 0.850 0.120
0.730 0.488 0.880
```

* uncorrected formation energy: -1.067 eV/atom
* polymorph energy (0 for the lowest one): 0.134 eV/atom
* symmetry: I-42d, No. 122
* total magnetization: 14.0 μB/cell
* energy: -148.31 eV/cell


Below is an optimized crystal structure of Rb2Ge3, with properties calculated at the GGA-PBE level.

```
Rb2Ge3
1.0
0.000 7.773 3.626
5.540 0.000 3.626
5.540 7.773 0.000
Rb Ge
4 6
Direct
0.105 0.895 0.275
0.525 0.975 0.355
0.895 0.105 0.725
0.975 0.525 0.145
0.268 0.268 0.732
0.449 0.544 0.300
0.518 0.518 0.982
0.543 0.950 0.706
0.544 0.449 0.707
0.950 0.543 0.801
```

* symmetry: Fdd2, No. 43
* total magnetization: 0.0 μB/cell
* energy: -30.94 eV/cell
* formation energy: 0.32 eV/f.u.